Computed, not measured: a geometry-optimized BeAgIr4 structure at the PBE level of DFT.

Values from the calculation:
For the volume, the calculation gives 97.3 Å³/cell. The total energy comes out at -6.3882 eV per atom. The calculation puts the mass density at 15.11 Mg/m³. The formation energy comes out at 59 kJ per mole of atoms.

Lattice parameters (Å, degrees): 5.1630 5.1630 5.1630 60.00 60.00 60.00
Fractional coordinates of all 6 atoms:
Ag  0.7500  0.7500  0.7500
Ir  0.3746  0.3746  0.3746
Ir  0.8761  0.3746  0.3746
Ir  0.3746  0.8761  0.3746
Ir  0.3746  0.3746  0.8761
Be  0.0000  0.0000  0.0000